Record 1
A relaxed YPa2Tc crystal. Source: Alexandria, functional GGA-PBE.

```
data_YPa2Tc
_chemical_formula_sum 'Y1 Pa2 Tc1'
_cell_length_a 3.3142
_cell_length_b 3.3142
_cell_length_c 8.9971
_cell_angle_alpha 90.00
_cell_angle_beta 90.00
_cell_angle_gamma 90.00
_symmetry_space_group_name_H-M 'P 4/m m m'
_symmetry_Int_Tables_number 123
_symmetry_space_group_name_Hall '-P 4 2'
loop_
_atom_site_label
_atom_site_fract_x
_atom_site_fract_y
_atom_site_fract_z
Y1 0.0000 0.0000 0.0000
Pa1 0.5000 0.5000 0.3026
Tc1 0.0000 0.0000 0.5000
```

Record 2
A relaxed YPa2Tc crystal. Source: Alexandria, functional GGA-PBE.

```
data_YPa2Tc
_chemical_formula_sum 'Y3 Pa6 Tc3'
_cell_length_a 4.7704
_cell_length_b 4.7704
_cell_length_c 14.4094
_cell_angle_alpha 90.00
_cell_angle_beta 90.00
_cell_angle_gamma 120.00
_symmetry_space_group_name_H-M 'R -3 m'
_symmetry_Int_Tables_number 166
_symmetry_space_group_name_Hall '-R 3 2"'
loop_
_atom_site_label
_atom_site_fract_x
_atom_site_fract_y
_atom_site_fract_z
Y1 0.0000 0.0000 0.0000
Pa1 0.0000 0.0000 0.2393
Tc1 0.0000 0.0000 0.5000
```

Record 3
A relaxed YPa2Tc9 crystal. Source: Alexandria, functional GGA-PBE.

```
data_YPa2Tc9
_chemical_formula_sum 'Y3 Pa6 Tc27'
_cell_length_a 5.2074
_cell_length_b 5.2074
_cell_length_c 27.4726
_cell_angle_alpha 90.00
_cell_angle_beta 90.00
_cell_angle_gamma 120.00
_symmetry_space_group_name_H-M 'R -3 m'
_symmetry_Int_Tables_number 166
_symmetry_space_group_name_Hall '-R 3 2"'
loop_
_atom_site_label
_atom_site_fract_x
_atom_site_fract_y
_atom_site_fract_z
Y1 0.0000 0.0000 0.0000
Pa1 0.0000 0.0000 0.1463
Tc1 0.0000 0.0000 0.3364
Tc2 0.0000 0.0000 0.5000
Tc3 0.0058 0.5029 0.9184
```

Record 4
A relaxed YPa3Tc4 crystal. Source: Alexandria, functional GGA-PBE.

```
data_YPa3Tc4
_chemical_formula_sum 'Y3 Pa9 Tc12'
_cell_length_a 4.9282
_cell_length_b 4.9282
_cell_length_c 23.4021
_cell_angle_alpha 90.00
_cell_angle_beta 90.00
_cell_angle_gamma 120.00
_symmetry_space_group_name_H-M 'R -3 m'
_symmetry_Int_Tables_number 166
_symmetry_space_group_name_Hall '-R 3 2"'
loop_
_atom_site_label
_atom_site_fract_x
_atom_site_fract_y
_atom_site_fract_z
Y1 0.0000 0.0000 0.0000
Pa1 0.0000 0.0000 0.2520
Pa2 0.0000 0.0000 0.5000
Tc1 0.0000 0.0000 0.1319
Tc2 0.0000 0.0000 0.3870
```

Record 5
A relaxed YPa5Tc6 crystal. Source: Alexandria, functional GGA-PBE.

```
data_YPa5Tc6
_chemical_formula_sum 'Y1 Pa5 Tc6'
_cell_length_a 4.7135
_cell_length_b 6.9240
_cell_length_c 7.8847
_cell_angle_alpha 90.00
_cell_angle_beta 107.26
_cell_angle_gamma 90.00
_symmetry_space_group_name_H-M 'P 1 2/m 1'
_symmetry_Int_Tables_number 10
loop_
_symmetry_equiv_pos_as_xyz
'x,y,z'
'-x,-y,-z'
'-x,y,-z'
'x,-y,z'
loop_
_atom_site_label
_atom_site_fract_x
_atom_site_fract_y
_atom_site_fract_z
Y1 0.0000 0.0000 0.0000
Pa1 0.0000 0.5000 0.0000
Pa2 0.3350 0.0000 0.6710
Pa3 0.3354 0.5000 0.6721
Tc1 0.1773 0.2484 0.3540
Tc2 0.5000 0.2779 0.0000
```

Record 6
A relaxed Y2Pa2Tc3 crystal. Source: Alexandria, functional GGA-PBE.

```
data_Y2Pa2Tc3
_chemical_formula_sum 'Y4 Pa4 Tc6'
_cell_length_a 8.0597
_cell_length_b 4.5823
_cell_length_c 9.0133
_cell_angle_alpha 90.00
_cell_angle_beta 106.69
_cell_angle_gamma 90.00
_symmetry_space_group_name_H-M 'C 1 2/m 1'
_symmetry_Int_Tables_number 12
loop_
_symmetry_equiv_pos_as_xyz
'x,y,z'
'-x,-y,-z'
'-x,y,-z'
'x,-y,z'
'x+1/2,y+1/2,z'
'-x+1/2,-y+1/2,-z'
'-x+1/2,y+1/2,-z'
'x+1/2,-y+1/2,z'
loop_
_atom_site_label
_atom_site_fract_x
_atom_site_fract_y
_atom_site_fract_z
Y1 0.1270 0.0000 0.3814
Pa1 0.1209 0.5000 0.8612
Tc1 0.0000 0.0000 0.0000
Tc2 0.2412 0.5000 0.2123
```

Record 7
A relaxed YPaZnTc crystal. Source: Alexandria, functional GGA-PBE.

```
data_YPaZnTc
_chemical_formula_sum 'Y4 Pa4 Zn4 Tc4'
_cell_length_a 6.9792
_cell_length_b 6.9792
_cell_length_c 6.9792
_cell_angle_alpha 90.00
_cell_angle_beta 90.00
_cell_angle_gamma 90.00
_symmetry_space_group_name_H-M 'F -4 3 m'
_symmetry_Int_Tables_number 216
_symmetry_space_group_name_Hall 'F -4 2 3'
loop_
_atom_site_label
_atom_site_fract_x
_atom_site_fract_y
_atom_site_fract_z
Y1 0.0000 0.0000 0.0000
Pa1 0.0000 0.0000 0.5000
Zn1 0.2500 0.2500 0.2500
Tc1 0.2500 0.2500 0.7500
```

Record 8
A relaxed Pa2ZnTc crystal. Source: Alexandria, functional GGA-PBE.

```
data_Pa2ZnTc
_chemical_formula_sum 'Pa2 Zn1 Tc1'
_cell_length_a 3.1635
_cell_length_b 3.1635
_cell_length_c 8.3916
_cell_angle_alpha 90.00
_cell_angle_beta 90.00
_cell_angle_gamma 90.00
_symmetry_space_group_name_H-M 'P 4/m m m'
_symmetry_Int_Tables_number 123
_symmetry_space_group_name_Hall '-P 4 2'
loop_
_atom_site_label
_atom_site_fract_x
_atom_site_fract_y
_atom_site_fract_z
Pa1 0.0000 0.0000 0.2241
Zn1 0.5000 0.5000 0.5000
Tc1 0.5000 0.5000 0.0000
```

Record 9
A relaxed PaZn11Tc crystal. Source: Alexandria, functional GGA-PBE.

```
data_PaZn11Tc
_chemical_formula_sum 'Pa2 Zn22 Tc2'
_cell_length_a 5.1824
_cell_length_b 13.1032
_cell_length_c 6.5414
_cell_angle_alpha 90.00
_cell_angle_beta 111.39
_cell_angle_gamma 90.00
_symmetry_space_group_name_H-M 'C 1 2/m 1'
_symmetry_Int_Tables_number 12
loop_
_symmetry_equiv_pos_as_xyz
'x,y,z'
'-x,-y,-z'
'-x,y,-z'
'x,-y,z'
'x+1/2,y+1/2,z'
'-x+1/2,-y+1/2,-z'
'-x+1/2,y+1/2,-z'
'x+1/2,-y+1/2,z'
loop_
_atom_site_label
_atom_site_fract_x
_atom_site_fract_y
_atom_site_fract_z
Pa1 0.0000 0.0000 0.0000
Zn1 0.0000 0.5000 0.5000
Zn2 0.1085 0.3891 0.2172
Zn3 0.1593 0.1734 0.3577
Zn4 0.2500 0.2500 0.0000
Tc1 0.0000 0.0000 0.5000
```

Record 10
A relaxed PaZn2Tc crystal. Source: Alexandria, functional GGA-PBE.

```
data_PaZn2Tc
_chemical_formula_sum 'Pa2 Zn4 Tc2'
_cell_length_a 4.7303
_cell_length_b 6.4836
_cell_length_c 4.9286
_cell_angle_alpha 90.00
_cell_angle_beta 106.93
_cell_angle_gamma 90.00
_symmetry_space_group_name_H-M 'P 1 21/m 1'
_symmetry_Int_Tables_number 11
loop_
_symmetry_equiv_pos_as_xyz
'x,y,z'
'-x,-y,-z'
'-x,y+1/2,-z'
'x,-y+1/2,z'
loop_
_atom_site_label
_atom_site_fract_x
_atom_site_fract_y
_atom_site_fract_z
Pa1 0.0413 0.2500 0.1353
Zn1 0.4244 0.0503 0.7278
Tc1 0.0975 0.7500 0.3837
```

Record 11
A relaxed PaZnTc crystal. Source: Alexandria, functional GGA-PBE.

```
data_PaZnTc
_chemical_formula_sum 'Pa2 Zn2 Tc2'
_cell_length_a 5.0728
_cell_length_b 4.6075
_cell_length_c 5.1593
_cell_angle_alpha 90.00
_cell_angle_beta 96.38
_cell_angle_gamma 90.00
_symmetry_space_group_name_H-M 'P 1 21/m 1'
_symmetry_Int_Tables_number 11
loop_
_symmetry_equiv_pos_as_xyz
'x,y,z'
'-x,-y,-z'
'-x,y+1/2,-z'
'x,-y+1/2,z'
loop_
_atom_site_label
_atom_site_fract_x
_atom_site_fract_y
_atom_site_fract_z
Pa1 0.2084 0.2500 0.3795
Zn1 0.3586 0.7500 0.0029
Tc1 0.1216 0.2500 0.8306
```

Record 12
A relaxed Pa2Zn16Tc crystal. Source: Alexandria, functional GGA-PBE.

```
data_Pa2Zn16Tc
_chemical_formula_sum 'Pa6 Zn48 Tc3'
_cell_length_a 9.1177
_cell_length_b 9.1177
_cell_length_c 12.8034
_cell_angle_alpha 90.00
_cell_angle_beta 90.00
_cell_angle_gamma 120.00
_symmetry_space_group_name_H-M 'R 3 m'
_symmetry_Int_Tables_number 160
_symmetry_space_group_name_Hall 'R 3 -2"'
loop_
_atom_site_label
_atom_site_fract_x
_atom_site_fract_y
_atom_site_fract_z
Pa1 0.0000 0.0000 0.0000
Pa2 0.0000 0.0000 0.3504
Zn1 0.0000 0.0000 0.5974
Zn2 0.0120 0.5060 0.1905
Zn3 0.0155 0.5077 0.8398
Zn4 0.0434 0.3762 0.3600
Zn5 0.1740 0.3479 0.8721
Tc1 0.0000 0.0000 0.8187
```

no.,final energy (eV per atom),formation enthalpy at 0 K (meV/atom),total magnetization (Bohr magnetons per cell)
1,-8.88,80,0.0
2,-8.65,303,0.0
3,-9.96,-66,0.0
4,-9.74,-191,0.0
5,-9.86,-181,0.0
6,-9.20,-196,0.0
7,-6.97,-75,0.0
8,-7.75,-94,0.0
9,-2.66,-55,0.0
10,-5.86,-255,0.0
11,-7.23,-188,0.0
12,-2.73,-115,2.0